# 1
Entry from the Alexandria database: a geometry-optimized CaTaRu2 structure (PBE-GGA).

Cell: 4.501 4.501 5.981 Å, 79.21 79.21 40.49°
Fractional coordinates of all 4 atoms:
Ru1 0.016 0.016 0.937
Ru2 0.484 0.484 0.563
Ca1 0.250 0.250 0.250
Ta1 0.750 0.750 0.750

ΔE_f = 0.67 eV per formula unit
SG = C2/m

=====

# 2
Entry from the Alexandria database: a geometry-optimized TcHgW2 structure (PBE-GGA).

Cell: 2.783 2.783 9.330 Å, 90.00 90.00 109.90°
Fractional coordinates of all 4 atoms:
Hg1 0.500 0.500 0.250
Tc1 0.500 0.500 0.750
W1 0.000 0.000 0.978
W2 0.000 0.000 0.522

ΔE_f = 2.05 eV per formula unit
SG = Cmmm

=====

# 3
Entry from the Alexandria database: a geometry-optimized Cr4SiP structure (PBE-GGA).

Cell: 4.715 4.715 4.715 Å, 60.00 60.00 60.00°
Fractional coordinates of all 6 atoms:
Cr1 0.875 0.375 0.375
Cr2 0.375 0.375 0.875
Cr3 0.375 0.875 0.375
Cr4 0.375 0.375 0.375
Si1 0.000 0.000 0.000
P1 0.750 0.750 0.750

ΔE_f (raw) = 1.8 eV/f.u.
SG = F-43m

=====

no.,calculated total energy (eV/atom)
1,-7.93
2,-8.63
3,-7.92